[1]
A plane-wave DFT calculation with PBE-GGA was carried out for crystalline SiAg5Te6 at its relaxed geometry.

POSCAR file:
```
SiAg5Te6
1.0
-1.113 7.094 1.105
-6.722 1.241 2.409
-1.377 0.021 7.049
Ag Te Si
5 6 1
Direct
0.500 0.155 0.690
0.500 0.845 0.310
0.000 0.325 0.350
0.500 0.500 0.000
0.000 0.675 0.650
0.256 0.939 0.687
0.744 0.061 0.313
0.794 0.737 0.000
0.256 0.625 0.313
0.744 0.375 0.687
0.206 0.263 0.000
0.000 0.000 0.000
```

Calculated values
**Formation energy (no corrections)**: 1 meV per atom
**Electronic total energy**: -38.52 eV for the cell shown
**Total moment**: 0.00 μB/cell

[2]
A plane-wave DFT calculation with PBE-GGA was carried out for crystalline Si2Ag2Te at its relaxed geometry.

POSCAR file:
```
Si2Ag2Te
1.0
3.528 0.000 0.000
0.000 3.528 0.000
1.764 1.764 8.171
Te Ag Si
1 2 2
Direct
0.000 0.000 0.000
0.387 0.387 0.226
0.613 0.613 0.774
0.250 0.750 0.500
0.750 0.250 0.500
```

Calculated values
**Formation energy (no corrections)**: 323 meV per atom
**Electronic total energy**: -18.07 eV for the cell shown
**Total moment**: 0.00 μB/cell